Material: CsAuO2F
Method: DFT, PBE
State: optimized geometry

POSCAR file:
```
CsAuO2F
1.0
4.3094 0.0000 0.0000
0.0000 4.3094 0.0000
0.0000 0.0000 5.4453
Cs Au O F
1 1 2 1
Direct
0.0000 0.0000 0.0000
0.5000 0.5000 0.5000
0.0000 0.5000 0.0000
0.5000 0.0000 0.0000
0.0000 0.0000 0.5000
```

Properties
E: -2.66 eV per atom
total magnetization: 0.00 Bohr magnetons per cell
formation energy from raw total energies: 0.525 eV per atom
crystal system: tetragonal